# K2ReAu | Alexandria | PBE-GGA | optimized geometry
# spin magnetization	4.7	μB/cell
# formation energy	1.181	eV per atom
# excess energy over the best structure of this formula in the dataset	1.68	eV/f.u.
data_K2ReAu
_chemical_formula_sum 'K4 Re2 Au2'
_symmetry_space_group_name_H-M 'P 1'
_symmetry_Int_Tables_number 1
_cell_length_a 4.149
_cell_length_b 4.149
_cell_length_c 11.062
_cell_angle_alpha 90.00
_cell_angle_beta 90.00
_cell_angle_gamma 90.00
loop_
_symmetry_equiv_pos_as_xyz
'x,y,z'
loop_
_atom_site_label
_atom_site_fract_x
_atom_site_fract_y
_atom_site_fract_z
_atom_site_occupancy
K1 0.000 0.500 0.250 1
K2 0.000 0.500 0.750 1
K3 0.500 0.000 0.250 1
K4 0.500 0.000 0.750 1
Re1 0.000 0.000 0.000 1
Re2 0.500 0.500 0.500 1
Au1 0.000 0.000 0.500 1
Au2 0.500 0.500 0.000 1

***

# KRe2Au | Alexandria | PBE-GGA | optimized geometry
# spin magnetization	0.0	μB/cell
# formation energy	1.399	eV per atom
# excess energy over the best structure of this formula in the dataset	4.22	eV/f.u.
data_KRe2Au
_chemical_formula_sum 'K4 Re8 Au4'
_symmetry_space_group_name_H-M 'P 1'
_symmetry_Int_Tables_number 1
_cell_length_a 6.590
_cell_length_b 6.590
_cell_length_c 6.590
_cell_angle_alpha 90.00
_cell_angle_beta 90.00
_cell_angle_gamma 90.00
loop_
_symmetry_equiv_pos_as_xyz
'x,y,z'
loop_
_atom_site_label
_atom_site_fract_x
_atom_site_fract_y
_atom_site_fract_z
_atom_site_occupancy
K1 0.000 0.000 0.000 1
K2 0.000 0.500 0.500 1
K3 0.500 0.000 0.500 1
K4 0.500 0.500 0.000 1
Re1 0.000 0.000 0.500 1
Re2 0.000 0.500 0.000 1
Re3 0.250 0.250 0.250 1
Re4 0.250 0.750 0.750 1
Re5 0.500 0.000 0.000 1
Re6 0.500 0.500 0.500 1
Re7 0.750 0.250 0.750 1
Re8 0.750 0.750 0.250 1
Au1 0.250 0.250 0.750 1
Au2 0.250 0.750 0.250 1
Au3 0.750 0.250 0.250 1
Au4 0.750 0.750 0.750 1

***

# KRe2Au | Alexandria | PBE-GGA | optimized geometry
# spin magnetization	0.0	μB/cell
# formation energy	1.135	eV per atom
# excess energy over the best structure of this formula in the dataset	3.16	eV/f.u.
data_KRe2Au
_chemical_formula_sum 'K1 Re2 Au1'
_symmetry_space_group_name_H-M 'P 1'
_symmetry_Int_Tables_number 1
_cell_length_a 2.680
_cell_length_b 5.482
_cell_length_c 5.113
_cell_angle_alpha 90.00
_cell_angle_beta 93.42
_cell_angle_gamma 90.00
loop_
_symmetry_equiv_pos_as_xyz
'x,y,z'
loop_
_atom_site_label
_atom_site_fract_x
_atom_site_fract_y
_atom_site_fract_z
_atom_site_occupancy
K1 0.000 0.000 0.000 1
Re1 0.332 0.500 0.760 1
Re2 0.668 0.500 0.240 1
Au1 0.500 0.000 0.500 1

***

# KRe2Au | Alexandria | PBE-GGA | optimized geometry
# spin magnetization	0.0	μB/cell
# formation energy	1.101	eV per atom
# excess energy over the best structure of this formula in the dataset	3.03	eV/f.u.
data_KRe2Au
_chemical_formula_sum 'K1 Re2 Au1'
_symmetry_space_group_name_H-M 'P 1'
_symmetry_Int_Tables_number 1
_cell_length_a 2.675
_cell_length_b 2.675
_cell_length_c 10.453
_cell_angle_alpha 90.00
_cell_angle_beta 90.00
_cell_angle_gamma 90.00
loop_
_symmetry_equiv_pos_as_xyz
'x,y,z'
loop_
_atom_site_label
_atom_site_fract_x
_atom_site_fract_y
_atom_site_fract_z
_atom_site_occupancy
K1 0.000 0.000 0.000 1
Re1 0.500 0.500 0.284 1
Re2 0.500 0.500 0.716 1
Au1 0.000 0.000 0.500 1

***

# K2ReAu | Alexandria | PBE-GGA | optimized geometry
# spin magnetization	5.0	μB/cell
# formation energy	1.053	eV per atom
# excess energy over the best structure of this formula in the dataset	1.17	eV/f.u.
data_K2ReAu
_chemical_formula_sum 'K4 Re2 Au2'
_symmetry_space_group_name_H-M 'P 1'
_symmetry_Int_Tables_number 1
_cell_length_a 4.681
_cell_length_b 5.876
_cell_length_c 9.450
_cell_angle_alpha 90.00
_cell_angle_beta 90.00
_cell_angle_gamma 90.00
loop_
_symmetry_equiv_pos_as_xyz
'x,y,z'
loop_
_atom_site_label
_atom_site_fract_x
_atom_site_fract_y
_atom_site_fract_z
_atom_site_occupancy
K1 0.000 0.000 0.000 1
K2 0.000 0.500 0.191 1
K3 0.500 0.000 0.691 1
K4 0.500 0.500 0.500 1
Re1 0.000 0.500 0.795 1
Re2 0.500 0.000 0.295 1
Au1 0.000 0.000 0.397 1
Au2 0.500 0.500 0.897 1

***

# K4ReAu | Alexandria | PBE-GGA | optimized geometry
# spin magnetization	4.1	μB/cell
# formation energy	1.254	eV per atom
data_K4ReAu
_chemical_formula_sum 'K4 Re1 Au1'
_symmetry_space_group_name_H-M 'P 1'
_symmetry_Int_Tables_number 1
_cell_length_a 6.948
_cell_length_b 6.948
_cell_length_c 6.948
_cell_angle_alpha 60.00
_cell_angle_beta 60.00
_cell_angle_gamma 60.00
loop_
_symmetry_equiv_pos_as_xyz
'x,y,z'
loop_
_atom_site_label
_atom_site_fract_x
_atom_site_fract_y
_atom_site_fract_z
_atom_site_occupancy
K1 0.125 0.125 0.125 1
K2 0.125 0.125 0.624 1
K3 0.125 0.624 0.125 1
K4 0.624 0.125 0.125 1
Re1 0.750 0.750 0.750 1
Au1 0.500 0.500 0.500 1

***

Repeat the second record exactly.
# KRe2Au | Alexandria | PBE-GGA | optimized geometry
# spin magnetization	0.0	μB/cell
# formation energy	1.399	eV per atom
# excess energy over the best structure of this formula in the dataset	4.22	eV/f.u.
data_KRe2Au
_chemical_formula_sum 'K4 Re8 Au4'
_symmetry_space_group_name_H-M 'P 1'
_symmetry_Int_Tables_number 1
_cell_length_a 6.590
_cell_length_b 6.590
_cell_length_c 6.590
_cell_angle_alpha 90.00
_cell_angle_beta 90.00
_cell_angle_gamma 90.00
loop_
_symmetry_equiv_pos_as_xyz
'x,y,z'
loop_
_atom_site_label
_atom_site_fract_x
_atom_site_fract_y
_atom_site_fract_z
_atom_site_occupancy
K1 0.000 0.000 0.000 1
K2 0.000 0.500 0.500 1
K3 0.500 0.000 0.500 1
K4 0.500 0.500 0.000 1
Re1 0.000 0.000 0.500 1
Re2 0.000 0.500 0.000 1
Re3 0.250 0.250 0.250 1
Re4 0.250 0.750 0.750 1
Re5 0.500 0.000 0.000 1
Re6 0.500 0.500 0.500 1
Re7 0.750 0.250 0.750 1
Re8 0.750 0.750 0.250 1
Au1 0.250 0.250 0.750 1
Au2 0.250 0.750 0.250 1
Au3 0.750 0.250 0.250 1
Au4 0.750 0.750 0.750 1

***

- What is the formula in the fourth record?
  KRe2Au